Entry 1:
Compound: TcAgSe2
Source: Alexandria
Functional: SCAN
Structure: single point on PBEsol structure Values from VASP.

Structure (Quantum ESPRESSO input):
```
&SYSTEM
  ibrav = 0, nat = 4, ntyp = 3
/
ATOMIC_SPECIES
Tc 98.00 Tc.upf
Ag 107.87 Ag.upf
Se 78.96 Se.upf
CELL_PARAMETERS angstrom
2.9641 0.0000 0.0000
0.0000 2.9641 0.0000
0.0000 0.0000 8.3172
ATOMIC_POSITIONS angstrom
Tc 0.0000 0.0000 0.0000
Ag 1.4820 1.4820 2.0236
Se 0.0000 0.0000 3.9942
Se 1.4820 1.4820 6.9971
```

## Properties
Calculated total energy (eV per formula unit): -105.9
Calculated volume (Å³/atom): 18.3



Entry 2:
Compound: TcAg2Se
Source: Alexandria
Functional: SCAN
Structure: single point on PBEsol structure Values from VASP.

Structure (Quantum ESPRESSO input):
```
&SYSTEM
  ibrav = 0, nat = 4, ntyp = 3
/
ATOMIC_SPECIES
Tc 98.00 Tc.upf
Ag 107.87 Ag.upf
Se 78.96 Se.upf
CELL_PARAMETERS angstrom
3.0564 0.0000 0.0000
0.0000 4.3355 0.0000
0.0000 0.0000 4.9101
ATOMIC_POSITIONS angstrom
Tc 0.0000 0.0000 0.0000
Ag 0.0000 2.1678 2.4550
Ag 1.5282 0.0000 2.4550
Se 1.5282 2.1678 0.0000
```

## Properties
Calculated total energy (eV per formula unit): -115.9
Calculated volume (Å³/atom): 16.3



> Among the records above, which one has the lowest calculated volume?

TcAg2Se



> Look up the calculated total energy of the second one.

-115.9 eV per formula unit



> Among the records above, which one has the highest calculated total energy?

TcAgSe2



> What is the calculated total energy in the first record?

-105.9 eV per formula unit